w.
# CuReSe2 | Alexandria via LeMat-Bulk | PBEsol | optimized geometry
# - Calculated volume: 237.5 Å³/cell
# - Theoretical density: 11.4 g cm⁻³
# - Magnetic moment: 0.000 μB per formula unit
data_CuReSe2
_space_group_name_H-M_alt 'F m -3 m'
_space_group_IT_number 225
_space_group_name_Hall '-F 4 2 3'
_cell_length_a 6.193
_cell_length_b 6.193
_cell_length_c 6.193
_cell_angle_alpha 90.00
_cell_angle_beta 90.00
_cell_angle_gamma 90.00
loop_
_atom_site_label
_atom_site_fract_x
_atom_site_fract_y
_atom_site_fract_z
Cu1 0.000 0.000 0.000
Re1 0.000 0.000 0.500
Se1 0.250 0.250 0.250

=====

x.
# CuReSe2 | Alexandria via LeMat-Bulk | PBEsol | optimized geometry
# - Calculated volume: 147.3 Å³/cell
# - Theoretical density: 9.2 g cm⁻³
# - Magnetic moment: 0.000 μB per formula unit
data_CuReSe2
_space_group_name_H-M_alt 'A m m 2'
_space_group_IT_number 38
_cell_length_a 3.276
_cell_length_b 3.057
_cell_length_c 14.703
_cell_angle_alpha 90.00
_cell_angle_beta 90.00
_cell_angle_gamma 90.00
loop_
_space_group_symop_operation_xyz
'x,y,z'
'-x,-y,z'
'-x,y,z'
'x,-y,z'
'x,y+1/2,z+1/2'
'-x,-y+1/2,z+1/2'
'-x,y+1/2,z+1/2'
'x,-y+1/2,z+1/2'
loop_
_atom_site_label
_atom_site_fract_x
_atom_site_fract_y
_atom_site_fract_z
Cu1 0.000 0.000 0.000
Re1 0.500 0.000 0.404
Se1 0.000 0.000 0.283
Se2 0.500 0.000 0.573

=====

Compare the structures above. Which one is the least stable? w is.